Below is an optimized crystal structure of CaTaV, with properties calculated at the PBE-GGA level.

It has space group Cmcm (No. 63), with a = 3.391 Å, b = 21.607 Å, c = 3.934 Å, α = 90.00°, β = 90.00° and γ = 90.00°. The asymmetric unit holds Ca at (0.000, 0.178, 0.250), Ta at (0.000, 0.438, 0.250) and V at (0.000, 0.038, 0.250).

For the energy above the most stable polymorph in this dataset, the calculation gives 0.033 eV/atom. Its energy is -7.33 eV/atom.